(1)
# PrGdCuRh GGA-PBE optimized geometry
# VASP energy in eV per atom: -8.017
# SG: F-43m (216)
# E_form in kJ/mol of formula units: -170
data_PrGdCuRh
_chemical_formula_sum 'Pr1 Gd1 Cu1 Rh1'
_space_group_name_H-M_alt 'P 1'
_space_group_IT_number 1
_cell_length_a 5.0107
_cell_length_b 5.0107
_cell_length_c 5.0107
_cell_angle_alpha 60.00
_cell_angle_beta 60.00
_cell_angle_gamma 60.00
loop_
_space_group_symop_operation_xyz
'x,y,z'
loop_
_atom_site_label
_atom_site_fract_x
_atom_site_fract_y
_atom_site_fract_z
_atom_site_occupancy
Pr1 0.0000 0.0000 0.0000 1
Gd1 0.5000 0.5000 0.5000 1
Rh1 0.7500 0.7500 0.7500 1
Cu1 0.2500 0.2500 0.2500 1



(2)
# NaCuPd2 GGA-PBE optimized geometry
# VASP energy in eV per atom: -3.988
# SG: R-3m (166)
# E_form in kJ/mol of formula units: -15
data_NaCuPd2
_chemical_formula_sum 'Na1 Cu1 Pd2'
_space_group_name_H-M_alt 'P 1'
_space_group_IT_number 1
_cell_length_a 2.8226
_cell_length_b 2.8226
_cell_length_c 9.2790
_cell_angle_alpha 81.25
_cell_angle_beta 81.25
_cell_angle_gamma 60.00
loop_
_space_group_symop_operation_xyz
'x,y,z'
loop_
_atom_site_label
_atom_site_fract_x
_atom_site_fract_y
_atom_site_fract_z
_atom_site_occupancy
Na1 0.5000 0.5000 0.5000 1
Cu1 0.0000 0.0000 0.0000 1
Pd1 0.7429 0.7429 0.7714 1
Pd2 0.2571 0.2571 0.2286 1



(3)
# LiCd7In12 GGA-PBE optimized geometry
# VASP energy in eV per atom: -2.021
# SG: R-3 (148)
# E_form in kJ/mol of formula units: 74
data_LiCd7In12
_chemical_formula_sum 'Li1 Cd7 In12'
_space_group_name_H-M_alt 'P 1'
_space_group_IT_number 1
_cell_length_a 6.0895
_cell_length_b 10.1956
_cell_length_c 10.1956
_cell_angle_alpha 116.14
_cell_angle_beta 101.48
_cell_angle_gamma 101.48
loop_
_space_group_symop_operation_xyz
'x,y,z'
loop_
_atom_site_label
_atom_site_fract_x
_atom_site_fract_y
_atom_site_fract_z
_atom_site_occupancy
Li1 0.0000 0.0000 0.0000 1
Cd1 0.1451 0.7777 0.0506 1
Cd2 0.9055 0.0506 0.2729 1
Cd3 0.6326 0.7271 0.7777 1
Cd4 0.5000 0.0000 0.0000 1
Cd5 0.3674 0.2729 0.2223 1
Cd6 0.0945 0.9494 0.7271 1
Cd7 0.8549 0.2223 0.9494 1
In1 0.1948 0.5587 0.1789 1
In2 0.9842 0.1789 0.6203 1
In3 0.6049 0.6887 0.0622 1
In4 0.4573 0.0622 0.3735 1
In5 0.3639 0.3797 0.5587 1
In6 0.0839 0.6265 0.6887 1
In7 0.9161 0.3735 0.3113 1
In8 0.6361 0.6203 0.4413 1
In9 0.5427 0.9378 0.6265 1
In10 0.3951 0.3113 0.9378 1
In11 0.0158 0.8211 0.3797 1
In12 0.8052 0.4413 0.8211 1



(4)
# NpPaSb GGA-PBE optimized geometry
# Raw formation energy in eV/atom: -0.039
# VASP energy in eV per atom: -8.892
# SG: P3m1 (156)
# E above lowest polymorph in eV/f.u.: 0.44
data_NpPaSb
_chemical_formula_sum 'Np1 Pa1 Sb1'
_space_group_name_H-M_alt 'P 1'
_space_group_IT_number 1
_cell_length_a 3.7722
_cell_length_b 3.7722
_cell_length_c 5.8782
_cell_angle_alpha 90.00
_cell_angle_beta 90.00
_cell_angle_gamma 120.00
loop_
_space_group_symop_operation_xyz
'x,y,z'
loop_
_atom_site_label
_atom_site_fract_x
_atom_site_fract_y
_atom_site_fract_z
_atom_site_occupancy
Np1 0.3333 0.6667 0.6307 1
Sb1 0.0000 0.0000 0.9912 1
Pa1 0.6667 0.3333 0.3781 1



(5)
# Pm3MgP GGA-PBE optimized geometry
# VASP energy in eV per atom: -4.722
# SG: Pm-3m (221)
# E_form in kJ/mol of formula units: -227
data_Pm3MgP
_chemical_formula_sum 'Pm3 Mg1 P1'
_space_group_name_H-M_alt 'P 1'
_space_group_IT_number 1
_cell_length_a 5.4890
_cell_length_b 5.4890
_cell_length_c 5.4890
_cell_angle_alpha 90.00
_cell_angle_beta 90.00
_cell_angle_gamma 90.00
loop_
_space_group_symop_operation_xyz
'x,y,z'
loop_
_atom_site_label
_atom_site_fract_x
_atom_site_fract_y
_atom_site_fract_z
_atom_site_occupancy
P1 0.0000 0.0000 0.0000 1
Mg1 0.5000 0.5000 0.5000 1
Pm1 0.0000 0.5000 0.0000 1
Pm2 0.0000 0.0000 0.5000 1
Pm3 0.5000 0.0000 0.0000 1



(6)
# Ca2TaSe GGA-PBE optimized geometry
# Raw formation energy in eV/atom: 0.159
# VASP energy in eV per atom: -4.676
# SG: P4/mmm (123)
data_Ca2TaSe
_chemical_formula_sum 'Ca2 Ta1 Se1'
_space_group_name_H-M_alt 'P 1'
_space_group_IT_number 1
_cell_length_a 5.1756
_cell_length_b 5.1756
_cell_length_c 3.7992
_cell_angle_alpha 90.00
_cell_angle_beta 90.00
_cell_angle_gamma 90.00
loop_
_space_group_symop_operation_xyz
'x,y,z'
loop_
_atom_site_label
_atom_site_fract_x
_atom_site_fract_y
_atom_site_fract_z
_atom_site_occupancy
Ca1 0.0000 0.0000 0.0000 1
Ca2 0.5000 0.5000 0.0000 1
Se1 0.5000 0.0000 0.5000 1
Ta1 0.0000 0.5000 0.5000 1